(1)
VASP calculation (PBE) on a relaxed structure of Cs2MgNbS4.

a = 6.123 Å, b = 7.866 Å, c = 13.017 Å
α = 84.75°, β = 76.40°, γ = 67.10°
Last column: magnetic moment on the atom in μB.
Element x y z (fractional)
Nb 0.500 0.000 0.000  0.76
Nb 0.250 0.500 0.500  0.76
S 0.869 0.686 0.601  0.00
S 0.305 0.814 0.101  0.00
S 0.445 0.686 0.399  0.00
S 0.156 0.314 0.399  0.00
S 0.594 0.186 0.101  0.00
S 0.881 0.814 0.899  0.00
S 0.530 0.314 0.601  0.00
S 0.220 0.186 0.899  0.00
Mg 0.750 0.500 0.500  0.01
Mg 0.000 0.000 0.000  0.01
Cs 0.177 0.000 0.647  0.00
Cs 0.823 0.000 0.353  0.00
Cs 0.927 0.500 0.147  0.00
Cs 0.573 0.500 0.853  0.00

## Properties
**SG**: Fddd (70)
**Mass density**: 3.025 g cm⁻³
**ΔE_f (raw)**: -1.156 eV/atom
**Crystal system**: orthorhombic


(2)
VASP calculation (PBE) on a relaxed structure of Cs3Nd2MgS6.

a = 7.224 Å, b = 7.224 Å, c = 8.404 Å
α = 98.25°, β = 98.25°, γ = 120.02°
Element x y z (fractional)
Mg 0.000 0.000 0.000
S 0.261 0.261 0.817
S 0.061 0.382 0.182
S 0.939 0.618 0.818
S 0.382 0.061 0.182
S 0.618 0.939 0.818
S 0.739 0.739 0.183
Cs 0.167 0.833 0.500
Cs 0.500 0.500 0.500
Cs 0.833 0.167 0.500
Nd 0.666 0.334 0.000
Nd 0.334 0.666 0.000

## Properties
**SG**: C2/m (12)
**Mass density**: 4.127 g cm⁻³
**ΔE_f (raw)**: -1.466 eV/atom
**Crystal system**: monoclinic


(3)
VASP calculation (PBE) on a relaxed structure of Cs3Nd2MgSe6.

a = 7.492 Å, b = 7.492 Å, c = 8.762 Å
α = 98.23°, β = 98.23°, γ = 120.05°
Element x y z (fractional)
Se 0.062 0.383 0.186
Se 0.617 0.938 0.814
Se 0.938 0.617 0.814
Se 0.383 0.062 0.186
Se 0.740 0.740 0.187
Se 0.260 0.260 0.813
Cs 0.500 0.500 0.500
Cs 0.169 0.831 0.500
Cs 0.831 0.169 0.500
Nd 0.666 0.334 0.000
Nd 0.334 0.666 0.000
Mg 0.000 0.000 0.000

## Properties
**SG**: C2/m (12)
**Mass density**: 4.825 g cm⁻³
**ΔE_f (raw)**: -1.418 eV/atom
**Crystal system**: monoclinic


(4)
VASP calculation (PBE) on a relaxed structure of Cs2NdMg2Te4.

a = 4.611 Å, b = 9.172 Å, c = 8.932 Å
α = 106.79°, β = 104.96°, γ = 90.00°
Last column: magnetic moment on the atom in μB.
Element x y z (fractional)
Mg 0.670 0.977 0.340  0.01
Mg 0.330 0.023 0.660  0.01
Te 0.798 0.831 0.597  0.00
Te 0.482 0.237 0.964  0.00
Te 0.202 0.169 0.403  0.00
Te 0.518 0.763 0.036  0.00
Nd 0.000 0.000 0.000  0.27
Cs 0.128 0.546 0.255  0.01
Cs 0.872 0.454 0.745  0.01

## Properties
**SG**: C2/m (12)
**Mass density**: 4.620 g cm⁻³
**ΔE_f (raw)**: -1.069 eV/atom
**Crystal system**: monoclinic


(5)
VASP calculation (PBE) on a relaxed structure of CsMgNi3.

a = 4.788 Å, b = 4.788 Å, c = 4.788 Å
α = 90.00°, β = 90.00°, γ = 90.00°
Element x y z (fractional)
Cs 0.500 0.500 0.500
Ni 0.000 0.500 0.000
Ni 0.000 0.000 0.500
Ni 0.500 0.000 0.000
Mg 0.000 0.000 0.000

## Properties
**SG**: Pm-3m (221)
**Mass density**: 5.042 g cm⁻³
**Crystal system**: cubic
**DFT formation energy**: 106.3 kJ/mol of atoms
**Relative energy among the computed polymorphs**: 0 meV/atom


(6)
VASP calculation (PBE) on a relaxed structure of CsMgNi3.

a = 4.854 Å, b = 4.854 Å, c = 4.854 Å
α = 90.00°, β = 90.00°, γ = 90.00°
Element x y z (fractional)
Cs 0.000 0.000 0.000
Ni 0.500 0.000 0.000
Ni 0.000 0.500 0.000
Ni 0.000 0.000 0.500
Mg 0.500 0.500 0.500

## Properties
**SG**: Pm-3m (221)
**Mass density**: 4.840 g cm⁻³
**Crystal system**: cubic
**DFT formation energy**: 176.9 kJ/mol of atoms
**Relative energy among the computed polymorphs**: 732 meV/atom


(7)
VASP calculation (PBE) on a relaxed structure of Cs2MgNi.

a = 9.642 Å, b = 9.642 Å, c = 9.642 Å
α = 93.78°, β = 93.78°, γ = 150.25°
Element x y z (fractional)
Mg 0.500 0.500 0.000
Mg 0.750 0.250 0.500
Ni 0.000 0.000 0.000
Ni 0.250 0.750 0.500
Cs 0.054 0.375 0.179
Cs 0.196 0.875 0.821
Cs 0.125 0.946 0.321
Cs 0.625 0.804 0.679

## Properties
**SG**: I-42d (122)
**Mass density**: 2.695 g cm⁻³
**Crystal system**: tetragonal
**DFT formation energy**: 39.9 kJ/mol of atoms


(8)
VASP calculation (PBE) on a relaxed structure of CsMg3Ni.

a = 6.880 Å, b = 6.880 Å, c = 6.880 Å
α = 90.00°, β = 90.00°, γ = 90.00°
Last column: magnetic moment on the atom in μB.
Element x y z (fractional)
Mg 0.500 0.000 0.000  0.00
Mg 0.000 0.500 0.000  0.00
Mg 0.000 0.000 0.500  0.00
Ni 0.500 0.500 0.500  -1.10
Cs 0.000 0.000 0.000  0.00

## Properties
**SG**: Pm-3m (221)
**Mass density**: 1.349 g cm⁻³
**Crystal system**: cubic
**DFT formation energy**: 163.9 kJ/mol of atoms
**Relative energy among the computed polymorphs**: 1502 meV/atom